Arrangement one

The following is a DFT calculation (PBE-GGA) of a relaxed structure of Al2ZnSn2.

The value obtained for the density of states at the Fermi level is 1.74 states/eV/f.u. Its symmetry is P4/mbm (127).

Cell and atoms, written as POSCAR:
```
Al2ZnSn2
1.0
-3.2973 6.0966 -0.7089
-5.5614 -2.6273 3.2728
1.6731 1.3627 3.9371
Zn Sn Al
2 4 4
Direct
0.0000 0.0000 0.0000 Zn
0.5000 0.5000 0.0000 Zn
0.1808 0.6808 0.5000 Sn
0.6808 0.8192 0.5000 Sn
0.8192 0.3192 0.5000 Sn
0.3192 0.1808 0.5000 Sn
0.3655 0.8655 0.0000 Al
0.8655 0.6345 0.0000 Al
0.6345 0.1345 0.0000 Al
0.1345 0.3655 0.0000 Al
```

Arrangement two

The following is a DFT calculation (PBE-GGA) of a relaxed structure of Al2ZnSn2.

The value obtained for the density of states at the Fermi level is 0.65 states/eV/f.u. Its symmetry is I4/mmm (139).

Cell and atoms, written as POSCAR:
```
Al2ZnSn2
1.0
-0.7832 -4.5126 -1.1307
0.9898 -1.2819 4.4309
-5.4443 -2.2891 3.0653
Zn Sn Al
1 2 2
Direct
0.0000 0.0000 0.0000 Zn
0.3789 0.3789 0.2421 Sn
0.6211 0.6211 0.7579 Sn
0.7500 0.2500 0.5000 Al
0.2500 0.7500 0.5000 Al
```

Which structure is most stable? arrangement one, by 141 meV/atom over the runner-up.

Arrangement one

The following is a DFT calculation (PBE-GGA) of a relaxed structure of AlZn2Sn2.

The value obtained for the density of states at the Fermi level is 3.20 states/eV/f.u. Its symmetry is P4/mbm (127).

Cell and atoms, written as POSCAR:
```
AlZn2Sn2
1.0
8.1767 0.0000 0.0000
0.0000 8.1767 0.0000
0.0000 0.0000 3.3118
Zn Sn Al
4 4 2
Direct
0.1135 0.6135 0.5000 Zn
0.6135 0.8865 0.5000 Zn
0.8865 0.3865 0.5000 Zn
0.3865 0.1135 0.5000 Zn
0.3134 0.8134 0.0000 Sn
0.8134 0.6866 0.0000 Sn
0.6866 0.1866 0.0000 Sn
0.1866 0.3134 0.0000 Sn
0.0000 0.0000 0.0000 Al
0.5000 0.5000 0.0000 Al
```

Arrangement two

The following is a DFT calculation (PBE-GGA) of a relaxed structure of AlZn2Sn2.

The value obtained for the density of states at the Fermi level is 2.11 states/eV/f.u. Its symmetry is P4/mbm (127).

Cell and atoms, written as POSCAR:
```
AlZn2Sn2
1.0
7.0943 0.0000 0.0000
0.0000 7.0943 0.0000
0.0000 0.0000 4.2035
Zn Sn Al
4 4 2
Direct
0.3727 0.8727 0.0000 Zn
0.8727 0.6273 0.0000 Zn
0.6273 0.1273 0.0000 Zn
0.1273 0.3727 0.0000 Zn
0.1828 0.6828 0.5000 Sn
0.6828 0.8172 0.5000 Sn
0.8172 0.3172 0.5000 Sn
0.3172 0.1828 0.5000 Sn
0.0000 0.0000 0.0000 Al
0.5000 0.5000 0.0000 Al
```

Which structure is most stable? arrangement two, by 89 meV/atom over the runner-up.

Arrangement one

The following is a DFT calculation (PBE-GGA) of a relaxed structure of ZrAl3Sn.

The value obtained for the density of states at the Fermi level is 4.04 states/eV/f.u. Its symmetry is Pm-3m (221).

Cell and atoms, written as POSCAR:
```
ZrAl3Sn
1.0
5.2377 0.0000 0.0000
0.0000 5.2377 0.0000
0.0000 0.0000 5.2377
Sn Zr Al
1 1 3
Direct
0.5000 0.5000 0.5000 Sn
0.0000 0.0000 0.0000 Zr
0.0000 0.5000 0.0000 Al
0.0000 0.0000 0.5000 Al
0.5000 0.0000 0.0000 Al
```

Arrangement two

The following is a DFT calculation (PBE-GGA) of a relaxed structure of ZrAl3Sn.

The value obtained for the density of states at the Fermi level is 4.18 states/eV/f.u. Its symmetry is Pm-3m (221).

Cell and atoms, written as POSCAR:
```
ZrAl3Sn
1.0
5.0844 0.0000 0.0000
0.0000 5.0844 0.0000
0.0000 0.0000 5.0844
Sn Zr Al
1 1 3
Direct
0.0000 0.0000 0.0000 Sn
0.5000 0.5000 0.5000 Zr
0.0000 0.5000 0.0000 Al
0.0000 0.0000 0.5000 Al
0.5000 0.0000 0.0000 Al
```

Which structure is most stable? arrangement one, by 239 meV/atom over the runner-up.